# PBE-GGA TlH7Ru2, relaxed
data_TlH7Ru2
_space_group_name_H-M_alt 'C m m m'
_space_group_IT_number 65
_space_group_name_Hall '-C 2 2'
_cell_length_a 6.088
_cell_length_b 8.209
_cell_length_c 3.314
_cell_angle_alpha 90.00
_cell_angle_beta 90.00
_cell_angle_gamma 90.00
loop_
_atom_site_label
_atom_site_type_symbol
_atom_site_fract_x
_atom_site_fract_y
_atom_site_fract_z
Tl1 Tl 0.000 0.000 0.000
H1 H 0.000 0.350 0.000
H2 H 0.000 0.500 0.500
H3 H 0.236 0.142 0.500
Ru1 Ru 0.000 0.279 0.500
# * E_tot: -4.271 eV/atom
# * size of the total moment: 0.00 μB per formula unit